Density functional theory data (GGA-PBE) for a relaxed Sr2AlH2 crystal.

- M_tot: 1.7 μB per cell
- Distance to the lowest polymorph of the same formula: 0 meV per atom
- V: 22.8 Å³/atom

a = 3.988 Å, b = 3.988 Å, c = 14.307 Å
α = 90.00°, β = 90.00°, γ = 90.00°
Space group I4/mmm (No. 139)
Symmetry-distinct sites (fractional):
Sr (0.000, 0.000, 0.151)
Al (0.000, 0.000, 0.500)
H (0.000, 0.500, 0.250)